Material: Pu3Si2Ir2
Method: DFT, GGA-PBE
State: optimized geometry

- DOS at the Fermi energy: 3.300 states/eV/atom
- Space group: Pbcm, No. 57
- Formation energy from raw total energies: -0.65 eV/atom

Cell lengths 5.5587, 7.7793, 13.1126 Å; angles 90.00, 90.00, 90.00 degrees
Fractional coordinates of all 28 atoms:
Si (0.1446, 0.5915, 0.7500)
Pu (0.1371, 0.6157, 0.1019)
Ir (0.3709, 0.5335, 0.9084)
Si (0.6309, 0.7500, 0.0000)
Pu (0.8629, 0.3843, 0.8981)
Pu (0.1371, 0.6157, 0.3981)
Ir (0.3709, 0.5335, 0.5916)
Pu (0.8629, 0.3843, 0.6019)
Ir (0.3709, 0.9665, 0.0916)
Ir (0.6291, 0.4665, 0.0916)
Ir (0.6291, 0.0335, 0.5916)
Si (0.1446, 0.9085, 0.2500)
Pu (0.3567, 0.2382, 0.7500)
Pu (0.6433, 0.7382, 0.7500)
Pu (0.1371, 0.8843, 0.8981)
Ir (0.6291, 0.0335, 0.9084)
Si (0.6309, 0.7500, 0.5000)
Si (0.3691, 0.2500, 0.5000)
Ir (0.3709, 0.9665, 0.4084)
Pu (0.8629, 0.1157, 0.1019)
Si (0.3691, 0.2500, 0.0000)
Si (0.8554, 0.0915, 0.7500)
Pu (0.1371, 0.8843, 0.6019)
Pu (0.3567, 0.2618, 0.2500)
Ir (0.6291, 0.4665, 0.4084)
Pu (0.8629, 0.1157, 0.3981)
Pu (0.6433, 0.7618, 0.2500)
Si (0.8554, 0.4085, 0.2500)

Material: Pu2SiIr2
Method: DFT, GGA-PBE
State: optimized geometry

- DOS at the Fermi energy: 1.748 states/eV/atom
- Space group: C2/c, No. 15
- Formation energy from raw total energies: -0.25 eV/atom

Cell lengths 5.5108, 5.5108, 6.4443 Å; angles 78.39, 78.39, 68.20 degrees
Fractional coordinates of all 10 atoms:
Ir (0.9363, 0.7605, 0.0070)
Ir (0.2395, 0.0637, 0.4930)
Pu (0.6639, 0.5211, 0.3511)
Ir (0.0637, 0.2395, 0.9930)
Si (0.1509, 0.8491, 0.2500)
Pu (0.3361, 0.4789, 0.6489)
Si (0.8491, 0.1509, 0.7500)
Pu (0.5211, 0.6639, 0.8511)
Pu (0.4789, 0.3361, 0.1489)
Ir (0.7605, 0.9363, 0.5070)

Material: PuSi7Ir3
Method: DFT, GGA-PBE
State: optimized geometry

- DOS at the Fermi energy: 1.178 states/eV/atom
- Space group: R-3c, No. 167
- Formation energy from raw total energies: -0.61 eV/atom

Cell lengths 7.6647, 7.6647, 8.0415 Å; angles 61.54, 61.54, 60.00 degrees
Fractional coordinates of all 22 atoms:
Si (0.2500, 0.2500, 0.2500)
Si (0.6727, 0.0667, 0.4100)
Ir (0.7500, 0.4329, 0.7500)
Si (0.1494, 0.3273, 0.5900)
Ir (0.5671, 0.9329, 0.2500)
Si (0.6494, 0.4333, 0.0900)
Si (0.3273, 0.9333, 0.5900)
Si (0.3506, 0.5667, 0.9100)
Si (0.0667, 0.8506, 0.4100)
Pu (0.5000, 0.5000, 0.5000)
Pu (0.0000, 0.0000, 0.0000)
Si (0.7500, 0.7500, 0.7500)
Si (0.5667, 0.1727, 0.9100)
Ir (0.9329, 0.2500, 0.2500)
Si (0.4333, 0.8273, 0.0900)
Ir (0.4329, 0.0671, 0.7500)
Ir (0.2500, 0.5671, 0.2500)
Si (0.1727, 0.3506, 0.9100)
Si (0.8273, 0.6494, 0.0900)
Si (0.9333, 0.1494, 0.5900)
Ir (0.0671, 0.7500, 0.7500)
Si (0.8506, 0.6727, 0.4100)

Uncorrected energy (eV/atom)
-10.870, -10.614, -7.777